(1)
A relaxed Ba3ErRu2O9 crystal, computed with GGA-PBEsol.

Unit cell a=5.844 b=5.844 c=14.306 alpha=90.00 beta=90.00 gamma=120.00
Each line ends with the local moment (μB).
Atoms (fractional coordinates):
Ba  0.000  0.000  0.250  0.01
Ba  0.000  0.000  0.750  0.01
Ba  0.333  0.667  0.594  0.01
Ba  0.667  0.333  0.094  0.01
Ba  0.667  0.333  0.406  0.01
Ba  0.333  0.667  0.906  0.01
Er  0.000  0.000  0.500  -0.02
Er  0.000  0.000  0.000  -0.02
Ru  0.333  0.667  0.336  0.94
Ru  0.667  0.333  0.836  0.94
Ru  0.667  0.333  0.664  0.94
Ru  0.333  0.667  0.164  0.94
O  0.018  0.509  0.250  0.10
O  0.509  0.491  0.750  0.10
O  0.509  0.018  0.750  0.10
O  0.491  0.982  0.250  0.10
O  0.491  0.509  0.250  0.10
O  0.982  0.491  0.750  0.10
O  0.648  0.824  0.088  0.08
O  0.824  0.176  0.588  0.08
O  0.824  0.648  0.588  0.08
O  0.176  0.352  0.088  0.08
O  0.176  0.824  0.088  0.08
O  0.352  0.176  0.912  0.08
O  0.824  0.176  0.912  0.08
O  0.352  0.176  0.588  0.08
O  0.824  0.648  0.912  0.08
O  0.176  0.352  0.412  0.08
O  0.648  0.824  0.412  0.08
O  0.176  0.824  0.412  0.08

Space group: P6_3/mmc, No. 194
Raw formation energy in eV/atom: -2.2995
Total moment in μB/f.u.: 2.99
Calculated total energy in eV/atom: -7.564

---

(2)
A relaxed Ba2ErSbO6 crystal, computed with GGA-PBEsol.

Unit cell a=5.925 b=5.925 c=5.925 alpha=60.00 beta=60.00 gamma=60.00
Atoms (fractional coordinates):
Sb  0.500  0.500  0.500
Ba  0.750  0.750  0.750
Ba  0.250  0.250  0.250
O  0.739  0.739  0.261
O  0.261  0.739  0.261
O  0.739  0.261  0.261
O  0.261  0.739  0.739
O  0.739  0.261  0.739
O  0.261  0.261  0.739
Er  0.000  0.000  0.000

Space group: Fm-3m, No. 225
Raw formation energy in eV/atom: -2.7533
Total moment in μB/f.u.: 0.00
Calculated total energy in eV/atom: -7.281

---

(3)
A relaxed Ba5Er8Zn4O21 crystal, computed with GGA-PBEsol.

Unit cell a=5.641 b=10.018 c=10.018 alpha=85.45 beta=73.65 gamma=73.65
Atoms (fractional coordinates):
Ba  0.536  0.324  0.604
Ba  0.860  0.604  0.676
Ba  0.140  0.396  0.324
Ba  0.464  0.676  0.396
Ba  0.000  0.000  0.000
Er  0.412  0.230  0.945
Er  0.643  0.945  0.770
Er  0.357  0.055  0.230
Er  0.588  0.770  0.055
Er  0.247  0.585  0.921
Er  0.832  0.921  0.415
Er  0.168  0.079  0.585
Er  0.753  0.415  0.079
Zn  0.040  0.710  0.209
Zn  0.750  0.209  0.290
Zn  0.250  0.791  0.710
Zn  0.960  0.290  0.791
O  0.397  0.594  0.109
O  0.991  0.109  0.406
O  0.506  0.891  0.594
O  0.100  0.406  0.891
O  0.603  0.406  0.891
O  0.009  0.891  0.594
O  0.494  0.109  0.406
O  0.900  0.594  0.109
O  0.572  0.226  0.129
O  0.798  0.129  0.774
O  0.701  0.871  0.226
O  0.926  0.774  0.871
O  0.428  0.774  0.871
O  0.202  0.871  0.226
O  0.299  0.129  0.774
O  0.074  0.226  0.129
O  0.629  0.410  0.332
O  0.500  0.000  0.000
O  0.371  0.590  0.668
O  0.961  0.668  0.410
O  0.039  0.332  0.590

Space group: I4/m, No. 87
Raw formation energy in eV/atom: -2.9531
Total moment in μB/f.u.: 0.00
Calculated total energy in eV/atom: -7.341

---

(4)
A relaxed BaEr2Se4 crystal, computed with GGA-PBEsol.

Unit cell a=4.119 b=12.573 c=14.895 alpha=90.00 beta=90.00 gamma=90.00
Atoms (fractional coordinates):
Ba  0.750  0.260  0.166
Ba  0.250  0.240  0.666
Ba  0.250  0.740  0.834
Ba  0.750  0.760  0.334
Er  0.750  0.422  0.900
Er  0.250  0.078  0.400
Er  0.250  0.578  0.100
Er  0.750  0.922  0.600
Er  0.750  0.935  0.108
Er  0.250  0.565  0.608
Er  0.250  0.065  0.892
Er  0.750  0.435  0.392
Se  0.750  0.415  0.578
Se  0.250  0.085  0.078
Se  0.250  0.585  0.422
Se  0.750  0.915  0.922
Se  0.750  0.207  0.839
Se  0.250  0.293  0.339
Se  0.250  0.793  0.161
Se  0.750  0.707  0.661
Se  0.750  0.126  0.525
Se  0.250  0.374  0.025
Se  0.250  0.874  0.475
Se  0.750  0.626  0.975
Se  0.750  0.024  0.283
Se  0.250  0.476  0.783
Se  0.250  0.976  0.717
Se  0.750  0.524  0.217

Space group: Pnma, No. 62
Raw formation energy in eV/atom: -1.9738
Total moment in μB/f.u.: 0.00
Calculated total energy in eV/atom: -5.889